1.
Compound: YTe2Br
Source: Alexandria
Functional: GGA-PBE
Structure: relaxed

Structure (POSCAR):
```
YTe2Br
1.0
4.434 0.000 0.000
0.000 4.434 0.000
0.000 0.000 5.685
Y Te Br
1 2 1
Cartesian
0.000 0.000 0.000
0.000 2.217 2.842
2.217 0.000 2.842
2.217 2.217 0.000
```

ΔE to the lowest computed polymorph = 392 meV/atom
ΔE_f (raw) = -0.7091 eV per atom
Calculated total energy = -17.26 eV per cell
Density = 6.301 g cm⁻³

***

2.
Compound: YTe2Br
Source: Alexandria
Functional: GGA-PBE
Structure: relaxed

Structure (POSCAR):
```
YTe2Br
1.0
3.799 0.000 0.000
0.000 3.799 0.000
0.000 0.000 8.670
Y Te Br
1 2 1
Cartesian
0.000 0.000 0.000
0.000 0.000 5.291
1.900 1.900 7.159
1.900 1.900 1.816
```

ΔE to the lowest computed polymorph = 319 meV/atom
ΔE_f (raw) = -0.7820 eV per atom
Calculated total energy = -17.55 eV per cell
Density = 5.626 g cm⁻³

***

3.
Compound: YTe2Br
Source: Alexandria
Functional: GGA-PBE
Structure: relaxed

Structure (POSCAR):
```
YTe2Br
1.0
1.985 1.146 10.359
-1.985 1.146 10.359
0.000 -2.292 10.359
Y Te Br
1 2 1
Cartesian
0.000 0.000 0.000
0.000 0.000 15.148
0.000 0.000 22.611
0.000 0.000 8.549
```

ΔE to the lowest computed polymorph = 346 meV/atom
ΔE_f (raw) = -0.7546 eV per atom
Calculated total energy = -17.44 eV per cell
Density = 4.980 g cm⁻³

***

4.
Compound: YTeBr2
Source: Alexandria
Functional: GGA-PBE
Structure: relaxed

Structure (POSCAR):
```
YTeBr2
1.0
-4.995 4.995 3.038
4.995 -4.995 3.038
4.995 4.995 -3.038
Y Te Br
2 2 4
Cartesian
0.000 0.000 0.000
0.000 4.995 1.519
4.995 0.000 1.519
0.000 0.000 3.038
-1.154 2.497 0.760
2.497 3.841 2.279
1.154 7.492 0.760
-2.497 6.148 2.279
```

ΔE to the lowest computed polymorph = 194 meV/atom
ΔE_f (raw) = -1.1270 eV per atom
Calculated total energy = -34.92 eV per cell
Density = 4.123 g cm⁻³

***

5.
Compound: YTe2Br
Source: Alexandria
Functional: GGA-PBE
Structure: relaxed

Structure (POSCAR):
```
YTe2Br
1.0
-2.017 2.558 5.525
2.017 -2.558 5.525
2.017 2.558 -5.525
Y Te Br
1 2 1
Cartesian
0.000 0.000 0.000
2.017 0.000 2.539
0.000 2.558 2.986
0.000 0.000 5.525
```

ΔE to the lowest computed polymorph = 320 meV/atom
ΔE_f (raw) = -0.7811 eV per atom
Calculated total energy = -17.54 eV per cell
Density = 6.176 g cm⁻³

***

6.
Compound: YTeBr2
Source: Alexandria
Functional: GGA-PBE
Structure: relaxed

Structure (POSCAR):
```
YTeBr2
1.0
3.344 -5.214 0.000
3.344 5.214 0.000
-3.131 0.000 3.383
Y Te Br
1 1 2
Cartesian
0.000 0.000 0.000
3.344 0.000 0.000
0.106 2.607 1.692
0.106 -2.607 1.692
```

ΔE to the lowest computed polymorph = 509 meV/atom
ΔE_f (raw) = -0.8116 eV per atom
Calculated total energy = -16.20 eV per cell
Density = 5.297 g cm⁻³

***

7.
Compound: YTeBr2
Source: Alexandria
Functional: GGA-PBE
Structure: relaxed

Structure (POSCAR):
```
YTeBr2
1.0
4.051 0.000 0.000
0.000 4.991 0.000
0.000 0.000 5.361
Y Te Br
1 1 2
Cartesian
0.000 0.000 0.000
2.025 0.000 2.681
0.000 2.495 2.681
2.025 2.495 0.000
```

ΔE to the lowest computed polymorph = 566 meV/atom
ΔE_f (raw) = -0.7548 eV per atom
Calculated total energy = -15.97 eV per cell
Density = 5.766 g cm⁻³

***

8.
Compound: YTeBr2
Source: Alexandria
Functional: GGA-PBE
Structure: relaxed

Structure (POSCAR):
```
YTeBr2
1.0
0.000 3.794 3.794
3.794 0.000 3.794
3.794 3.794 0.000
Y Te Br
1 1 2
Cartesian
0.000 0.000 0.000
5.692 5.692 5.692
1.897 1.897 1.897
3.794 3.794 3.794
```

ΔE to the lowest computed polymorph = 517 meV/atom
ΔE_f (raw) = -0.8038 eV per atom
Calculated total energy = -16.17 eV per cell
Density = 5.719 g cm⁻³

***

9.
Compound: YTeBr2
Source: Alexandria
Functional: GGA-PBE
Structure: relaxed

Structure (POSCAR):
```
YTeBr2
1.0
-2.365 2.365 4.803
2.365 -2.365 4.803
2.365 2.365 -4.803
Y Te Br
1 1 2
Cartesian
0.000 0.000 0.000
0.000 2.365 2.402
2.365 0.000 2.402
0.000 0.000 4.803
```

ΔE to the lowest computed polymorph = 512 meV/atom
ΔE_f (raw) = -0.8088 eV per atom
Calculated total energy = -16.19 eV per cell
Density = 5.816 g cm⁻³

***

10.
Compound: YTeBr2
Source: Alexandria
Functional: GGA-PBE
Structure: relaxed

Structure (POSCAR):
```
YTeBr2
1.0
-1.775 2.659 8.066
1.775 -2.659 8.066
1.775 2.659 -8.066
Y Te Br
1 1 2
Cartesian
0.000 0.000 0.000
0.000 2.659 5.487
1.775 0.000 2.175
0.000 0.000 7.966
```

ΔE to the lowest computed polymorph = 190 meV/atom
ΔE_f (raw) = -1.1313 eV per atom
Calculated total energy = -17.48 eV per cell
Density = 4.104 g cm⁻³

***

11.
Compound: YTeBr4
Source: Alexandria
Functional: GGA-PBE
Structure: relaxed

Structure (POSCAR):
```
YTeBr4
1.0
0.000 4.363 4.363
4.363 0.000 4.363
4.363 4.363 0.000
Y Te Br
1 1 4
Cartesian
0.000 0.000 0.000
2.182 2.182 2.182
5.458 3.269 3.269
3.269 5.458 3.269
3.269 3.269 5.458
5.458 5.458 5.458
```

ΔE_f (raw) = 0.0052 eV per atom
Calculated total energy = -16.27 eV per cell
Density = 5.358 g cm⁻³

***

12.
Compound: YTe2Br
Source: Alexandria
Functional: GGA-PBE
Structure: relaxed

Structure (POSCAR):
```
YTe2Br
1.0
1.775 1.025 11.285
-1.775 1.025 11.285
0.000 -2.050 11.285
Y Te Br
1 2 1
Cartesian
0.000 0.000 0.000
0.000 0.000 3.022
0.000 0.000 30.835
0.000 0.000 16.928
```

ΔE to the lowest computed polymorph = 1256 meV/atom
ΔE_f (raw) = 0.1549 eV per atom
Calculated total energy = -13.80 eV per cell
Density = 5.715 g cm⁻³

***

13.
Compound: YTeBr
Source: Alexandria
Functional: GGA-PBE
Structure: relaxed

Structure (POSCAR):
```
YTeBr
1.0
0.000 3.706 3.706
3.706 0.000 3.706
3.706 3.706 0.000
Y Te Br
1 1 1
Cartesian
0.000 0.000 0.000
5.559 5.559 5.559
3.706 3.706 3.706
```

ΔE_f (raw) = -0.8075 eV per atom
Calculated total energy = -13.70 eV per cell
Density = 4.834 g cm⁻³

***

14.
Compound: YTe2Br
Source: Alexandria
Functional: GGA-PBE
Structure: relaxed

Structure (POSCAR):
```
YTe2Br
1.0
5.715 0.000 0.000
0.000 4.448 0.000
-2.067 0.000 5.542
Y Te Br
1 2 1
Cartesian
0.000 0.000 0.000
0.259 2.224 2.205
3.389 2.224 3.337
2.857 0.000 0.000
```

ΔE to the lowest computed polymorph = 29 meV/atom
ΔE_f (raw) = -1.0724 eV per atom
Calculated total energy = -18.71 eV per cell
Density = 4.998 g cm⁻³

***

15.
Compound: YTeBr2
Source: Alexandria
Functional: GGA-PBE
Structure: relaxed

Structure (POSCAR):
```
YTeBr2
1.0
7.809 -1.843 0.000
7.809 1.843 0.000
-1.983 0.000 5.236
Y Te Br
1 1 2
Cartesian
0.000 0.000 0.000
6.817 0.000 2.618
3.778 0.000 4.460
9.856 0.000 0.776
```

ΔE to the lowest computed polymorph = 140 meV/atom
ΔE_f (raw) = -1.1811 eV per atom
Calculated total energy = -17.68 eV per cell
Density = 4.147 g cm⁻³

***

16.
Compound: YTe2Br
Source: Alexandria
Functional: GGA-PBE
Structure: relaxed

Structure (POSCAR):
```
YTe2Br
1.0
2.320 1.340 7.620
-2.320 1.340 7.620
0.000 -2.679 7.620
Y Te Br
1 2 1
Cartesian
0.000 0.000 0.000
0.000 0.000 6.132
0.000 0.000 16.730
0.000 0.000 11.431
```

ΔE to the lowest computed polymorph = 489 meV/atom
ΔE_f (raw) = -0.6118 eV per atom
Calculated total energy = -16.87 eV per cell
Density = 4.953 g cm⁻³

***

17.
Compound: YTe2Br
Source: Alexandria
Functional: GGA-PBE
Structure: relaxed

Structure (POSCAR):
```
YTe2Br
1.0
-2.064 2.718 7.263
2.064 -2.718 7.263
2.064 2.718 -7.263
Y Te Br
1 2 1
Cartesian
0.000 0.000 0.000
0.000 0.000 6.345
0.000 2.718 5.084
2.064 0.000 1.995
```

ΔE to the lowest computed polymorph = 134 meV/atom
ΔE_f (raw) = -0.9669 eV per atom
Calculated total energy = -18.29 eV per cell
Density = 4.322 g cm⁻³

***

18.
Compound: YTeBr
Source: Alexandria
Functional: GGA-PBE
Structure: relaxed

Structure (POSCAR):
```
YTeBr
1.0
-1.874 1.874 7.139
1.874 -1.874 7.139
1.874 1.874 -7.139
Y Te Br
1 1 1
Cartesian
0.000 0.000 0.000
0.000 0.000 5.497
0.000 0.000 9.015
```

ΔE_f (raw) = -1.3123 eV per atom
Calculated total energy = -15.22 eV per cell
Density = 4.910 g cm⁻³

***

19.
Compound: YTeBr2
Source: Alexandria
Functional: GGA-PBE
Structure: relaxed

Structure (POSCAR):
```
YTeBr2
1.0
3.117 -6.889 0.000
3.117 6.889 0.000
0.000 0.000 3.807
Y Te Br
1 1 2
Cartesian
0.000 0.000 0.000
3.117 0.000 0.000
3.117 4.858 1.904
3.117 -4.858 1.904
```

ΔE to the lowest computed polymorph = 11 meV/atom
ΔE_f (raw) = -1.3099 eV per atom
Calculated total energy = -18.19 eV per cell
Density = 3.821 g cm⁻³

***

20.
Compound: YTe2Br
Source: Alexandria
Functional: GGA-PBE
Structure: relaxed

Structure (POSCAR):
```
YTe2Br
1.0
5.542 -2.090 0.000
5.542 2.090 0.000
-1.352 0.000 6.412
Y Te Br
1 2 1
Cartesian
0.000 0.000 0.000
5.826 0.000 2.246
7.804 0.000 0.252
3.247 0.000 4.601
```

ΔE to the lowest computed polymorph = 0 meV/atom
ΔE_f (raw) = -1.1011 eV per atom
Calculated total energy = -18.82 eV per cell
Density = 4.740 g cm⁻³